(1)
Here is a geometry-optimized SrHgPb2Br8 structure from Alexandria. Energies are from PBE-GGA.

```
12
Lattice="-0.229 -7.275 -0.041 1.018 -0.102 6.835 -8.937 -0.025 0.953" Properties=species:S:1:pos:R:3 pbc="T T T"
Sr -4.468 -0.013 0.477
Hg 0.000 0.000 0.000
Pb -6.397 -3.774 4.079
Pb -1.751 -3.628 3.668
Br -1.436 -1.215 5.296
Br 0.584 -4.861 5.109
Br -1.985 -6.283 1.652
Br -6.712 -6.187 2.451
Br -8.732 -2.541 2.639
Br -6.163 -1.119 6.096
Br -3.901 -4.879 5.516
Br -4.247 -2.523 2.231
```

Properties
SG: No. 2
Spin magnetization: 0.000 Bohr magnetons per cell



(2)
Here is a geometry-optimized HgTePbBr structure from Alexandria. Energies are from PBE-GGA.

```
4
Lattice="6.218 0.000 0.000 3.109 2.950 -1.044 3.109 -0.626 7.625" Properties=species:S:1:pos:R:3 pbc="T T T"
Hg 9.327 2.655 2.229
Te 6.218 2.630 2.163
Pb 9.327 0.978 6.949
Br 6.218 0.828 6.538
```

Properties
SG: No. 8
Spin magnetization: 0.000 Bohr magnetons per cell



(3)
Here is a geometry-optimized HgTePbBr structure from Alexandria. Energies are from PBE-GGA.

```
4
Lattice="5.499 0.000 0.000 2.750 4.763 0.000 2.750 1.588 4.490" Properties=species:S:1:pos:R:3 pbc="T T T"
Pb 0.000 0.000 0.000
Te 2.750 1.588 1.123
Hg 5.499 3.175 2.245
Br 8.249 4.763 3.368
```

Properties
SG: No. 216
Spin magnetization: 0.000 Bohr magnetons per cell



(4)
Here is a geometry-optimized TlHgPbBr5 structure from Alexandria. Energies are from PBE-GGA.

```
16
Lattice="8.170 0.051 -0.076 -2.336 7.829 -0.076 -2.516 -3.399 10.008" Properties=species:S:1:pos:R:3 pbc="T T T"
Tl 0.653 4.300 2.426
Tl 2.664 0.181 7.430
Hg 4.183 1.687 2.426
Hg -0.865 2.794 7.430
Pb -1.258 -1.699 5.004
Pb 0.000 0.000 0.000
Br -1.978 6.248 2.426
Br 5.295 -1.767 7.430
Br 6.412 2.308 1.090
Br -3.095 2.173 8.766
Br 4.240 -0.626 3.762
Br -0.923 5.107 6.094
Br 3.403 3.364 4.387
Br -0.086 1.117 5.468
Br 2.351 1.943 0.464
Br 0.966 2.538 9.392
```

Properties
SG: No. 15
Spin magnetization: 0.000 Bohr magnetons per cell



(5)
Here is a geometry-optimized Tl2HgPbBr4 structure from Alexandria. Energies are from PBE-GGA.

```
8
Lattice="4.557 0.000 0.000 2.278 7.149 0.913 2.278 2.538 9.260" Properties=species:S:1:pos:R:3 pbc="T T T"
Tl 6.835 6.781 7.178
Tl 2.278 2.906 2.995
Hg 4.557 4.844 5.087
Pb 0.000 0.000 0.000
Br 2.278 1.886 6.292
Br 4.557 4.592 8.937
Br 6.835 7.801 3.881
Br 4.557 5.095 1.236
```

Properties
SG: No. 12
Spin magnetization: 0.000 Bohr magnetons per cell



(6)
Here is a geometry-optimized TlHg2PbBr8 structure from Alexandria. Energies are from PBE-GGA.

```
12
Lattice="7.557 -0.137 0.429 -0.069 6.796 0.573 0.550 0.751 8.714" Properties=species:S:1:pos:R:3 pbc="T T T"
Tl 0.275 0.376 4.357
Hg 4.041 3.833 6.959
Hg 3.997 3.577 2.756
Pb 0.000 0.000 0.000
Br 1.292 5.354 2.853
Br 4.793 5.010 0.828
Br 6.505 1.736 2.565
Br 6.746 2.056 6.863
Br 3.245 2.400 8.888
Br 1.533 5.674 7.151
Br 5.036 5.340 5.179
Br 3.002 2.070 4.536
```

Properties
SG: No. 2
Spin magnetization: 0.000 Bohr magnetons per cell



(7)
Here is a geometry-optimized UHgPbBr6 structure from Alexandria. Energies are from PBE-GGA.

```
18
Lattice="7.599 0.000 0.000 -3.800 6.581 0.000 0.000 0.000 17.520" Properties=species:S:1:pos:R:3 pbc="T T T"
U 3.800 2.194 4.380
U 0.000 4.388 13.140
Hg 0.000 0.000 0.000
Hg 0.000 0.000 8.760
Pb 0.000 4.388 4.380
Pb 3.800 2.194 13.140
Br 2.571 4.112 2.755
Br 6.075 2.298 2.755
Br -1.047 6.410 11.515
Br -2.276 4.283 14.765
Br 1.524 2.298 6.005
Br 5.028 4.112 6.005
Br 1.047 6.410 14.765
Br 4.847 0.171 6.005
Br -1.228 2.469 11.515
Br 2.753 0.171 2.755
Br 2.276 4.283 11.515
Br 1.228 2.469 14.765
```

Properties
SG: No. 163
Spin magnetization: 4.000 Bohr magnetons per cell



(8)
Here is a geometry-optimized VHgPbBr6 structure from Alexandria. Energies are from PBE-GGA.

```
9
Lattice="7.322 0.003 0.001 3.663 6.340 -0.001 0.001 -0.003 7.231" Properties=species:S:1:pos:R:3 pbc="T T T"
V 3.663 2.113 3.615
Hg 7.322 0.003 0.001
Pb 7.323 4.227 3.616
Br 1.630 2.177 2.124
Br 2.702 0.322 5.106
Br 5.695 2.178 5.106
Br 2.590 3.842 5.104
Br 4.736 3.840 2.124
Br 4.623 0.319 2.126
```

Properties
SG: No. 149
Spin magnetization: 1.002 Bohr magnetons per cell



(9)
Here is a geometry-optimized HgPbW2Br structure from Alexandria. Energies are from PBE-GGA.

```
5
Lattice="-0.713 4.294 -3.315 -5.755 -0.663 0.380 -0.097 3.333 4.338" Properties=species:S:1:pos:R:3 pbc="T T T"
Pb 0.000 0.000 0.000
Br -3.283 3.482 0.702
Hg -2.877 -0.331 0.190
W -0.049 1.667 2.169
W -0.357 2.147 -1.658
```

Properties
SG: No. 123
Spin magnetization: 8.365 Bohr magnetons per cell



(10)
Here is a geometry-optimized YHgPbBr6 structure from Alexandria. Energies are from PBE-GGA.

```
9
Lattice="7.525 0.001 -0.015 3.764 6.519 -0.032 0.018 0.034 6.786" Properties=species:S:1:pos:R:3 pbc="T T T"
Y 3.771 2.191 3.377
Hg 7.543 0.036 6.771
Pb 7.535 4.364 3.361
Br 1.457 2.236 1.755
Br 2.664 0.169 5.013
Br 6.088 2.248 4.997
Br 2.575 4.172 4.998
Br 4.969 4.160 1.742
Br 4.880 0.156 1.758
```

Properties
SG: No. 5
Spin magnetization: 0.000 Bohr magnetons per cell



(11)
Here is a geometry-optimized HgPd2Br2 structure from Alexandria. Energies are from PBE-GGA.

```
10
Lattice="7.219 0.000 0.000 0.000 7.219 0.000 0.000 0.000 4.118" Properties=species:S:1:pos:R:3 pbc="T T T"
Br 1.260 4.869 2.059
Br 4.869 5.959 2.059
Br 5.959 2.349 2.059
Br 2.349 1.260 2.059
Hg 0.000 0.000 0.000
Hg 3.609 3.609 0.000
Pd 2.585 6.194 0.000
Pd 6.194 4.634 0.000
Pd 4.634 1.025 0.000
Pd 1.025 2.585 0.000
```

Properties
SG: No. 127
Spin magnetization: 0.000 Bohr magnetons per cell



(12)
Here is a geometry-optimized HgPdBr2 structure from Alexandria. Energies are from PBE-GGA.

```
4
Lattice="-1.315 3.616 1.557 -3.615 1.608 -1.254 -5.572 -2.322 6.218" Properties=species:S:1:pos:R:3 pbc="T T T"
Br -4.431 -1.142 4.441
Br -6.071 4.043 2.080
Hg -5.251 1.451 3.261
Pd 0.000 0.000 0.000
```

Properties
SG: No. 166
Spin magnetization: 0.111 Bohr magnetons per cell



In the order shown, the computed energy values come out to -2.9610 -2.5255 -2.4437 -2.5594 -2.6918 -2.2094 -3.8397 -3.2615 -4.0057 -3.4134 -2.7099 -2.1473 eV/atom.
In the order shown, the computed formation energy (no corrections) values come out to -102.51 -30.81 -22.91 -69.17 -73.57 -51.87 -98.86 -66.33 223.09 -109.45 9.34 6.05 kJ per mole of atoms.
In the order shown, the computed Fermi-level density of states values come out to 0.000 0.270 0.589 0.000 0.000 0.491 0.843 0.831 1.128 0.528 0.867 0.673 states/eV/atom.